{
  "formula": "TiCo2BF",
  "functional": "PBE+U",
  "state": "optimized geometry",
  "dft_energy_ev_per_atom": -4.4115,
  "spacegroup": "P4/mmm (123)",
  "cell": [[4.4958, 0.0000, 0.0000], [0.0000, 4.4958, 0.0000], [0.0000, 0.0000, 3.7463]],
  "species": ["Ti", "Co", "Co", "B", "F"],
  "frac_coords": [[0.0000, 0.0000, 0.0000], [0.0000, 0.5000, 0.0000], [0.5000, 0.0000, 0.0000], [0.5000, 0.5000, 0.5000], [0.0000, 0.0000, 0.5000]]
}